VASP calculation (PBE) on crystalline K2InPb5 at its relaxed geometry.

Magnetization = 0.00 μB per formula unit
DOS at the Fermi energy = 0.726 states/eV per atom
Mass density = 6.31 g/cm³
Electronic total energy = -2.835 eV/atom
Formation enthalpy at 0 K = 0.0992 eV per atom
Crystal system = tetragonal

Lattice parameters (Å, degrees): 5.9519 7.3739 7.3739 90.00 90.00 90.00
Last column: nearest neighbours and their distance in Å.
Fractional positions:
Pb1 0.0000 0.7111 0.7111  1 In 3.01, 2 Pb 3.11
Pb2 0.5000 0.0000 0.0000  2 In 2.98
Pb3 0.0000 0.7111 0.2889  1 In 3.01, 2 Pb 3.11
Pb4 0.0000 0.2889 0.2889  1 In 3.01, 2 Pb 3.11
K1 0.5000 0.0000 0.5000  10 Pb 3.69-3.98
In1 0.0000 0.0000 0.0000  6 Pb 2.98-3.01
K2 0.5000 0.5000 0.0000  10 Pb 3.69-3.98
Pb5 0.0000 0.2889 0.7111  1 In 3.01, 2 Pb 3.11



VASP calculation (PBE) on crystalline KIn2Pb at its relaxed geometry.

Magnetization = 0.00 μB per formula unit
DOS at the Fermi energy = 0.356 states/eV per atom
Mass density = 6.11 g/cm³
Electronic total energy = -2.659 eV/atom
Formation enthalpy at 0 K = -0.0880 eV per atom
Crystal system = orthorhombic

Lattice parameters (Å, degrees): 3.6583 4.3415 8.1398 90.00 90.00 90.00
Last column: nearest neighbours and their distance in Å.
Fractional positions:
K1 0.0000 0.0000 0.4942  2 K 3.66, 5 In 3.73-3.98, 4 Pb 3.79
In1 0.0000 0.0000 0.0051  4 In 3.24, 4 Pb 3.28
Pb1 0.5000 0.5000 0.8031  5 In 3.21-3.28
In2 0.5000 0.5000 0.1977  1 Pb 3.21, 4 In 3.24



VASP calculation (PBE) on crystalline K2InPb at its relaxed geometry.

Magnetization = 0.00 μB per formula unit
DOS at the Fermi energy = 0.447 states/eV per atom
Mass density = 4.12 g/cm³
Electronic total energy = -2.280 eV/atom
Formation enthalpy at 0 K = -0.1191 eV per atom
Crystal system = monoclinic
ΔE to the lowest computed polymorph = 19.5 meV per atom

Lattice parameters (Å, degrees): 5.5609 7.0566 9.5087 74.28 73.00 66.80
Last column: nearest neighbours and their distance in Å.
Fractional positions:
K1 0.8179 0.8299 0.5342  4 Pb 3.76-3.81, 1 In 3.83, 5 K 4.00-4.10
Pb1 0.1347 0.9443 0.7863  3 In 3.08-3.28
K2 0.2175 0.2327 0.3323  2 In 3.64-3.92, 3 Pb 3.71-3.96, 2 K 4.03
K3 0.4638 0.3972 0.6752  1 In 3.46, 2 Pb 3.65-3.86
Pb2 0.5183 0.6745 0.2889  3 In 3.17-3.20
In1 0.5245 0.9797 0.9713  3 Pb 3.20-3.28, 2 In 3.30, 1 K 3.46
K4 0.8104 0.3917 0.9875  2 Pb 3.56-3.69, 3 In 3.79-3.88, 2 K 3.97
In2 0.0550 0.7665 0.1235  3 Pb 3.08-3.17, 2 In 3.30



VASP calculation (PBE) on crystalline KIn3Pb3 at its relaxed geometry.

Magnetization = 0.00 μB per formula unit
DOS at the Fermi energy = 0.786 states/eV per atom
Mass density = 5.67 g/cm³
Electronic total energy = -2.814 eV/atom
Formation enthalpy at 0 K = 0.1058 eV per atom
Crystal system = cubic
ΔE to the lowest computed polymorph = 127.7 meV per atom

Lattice parameters (Å, degrees): 8.3793 8.3793 8.3793 90.00 90.00 90.00
Last column: nearest neighbours and their distance in Å.
Fractional positions:
K1 0.0000 0.0000 0.0000  12 In 4.68, 12 Pb 4.68
K2 0.5000 0.5000 0.5000  12 Pb 4.68, 12 In 4.68
In1 0.5000 0.0000 0.2500  4 Pb 2.96
In2 0.5000 0.0000 0.7500  4 Pb 2.96
In3 0.0000 0.7500 0.5000  4 Pb 2.96
Pb1 0.5000 0.2500 0.0000  4 In 2.96
Pb2 0.0000 0.5000 0.7500  4 In 2.96
Pb3 0.5000 0.7500 0.0000  4 In 2.96
In4 0.7500 0.5000 0.0000  4 Pb 2.96
Pb4 0.7500 0.0000 0.5000  4 In 2.96
Pb5 0.2500 0.0000 0.5000  4 In 2.96
In5 0.2500 0.5000 0.0000  4 Pb 2.96
Pb6 0.0000 0.5000 0.2500  4 In 2.96
In6 0.0000 0.2500 0.5000  4 Pb 2.96



VASP calculation (PBE) on crystalline KIn6Pb8 at its relaxed geometry.

Magnetization = 0.00 μB per formula unit
DOS at the Fermi energy = 0.530 states/eV per atom
Mass density = 7.90 g/cm³
Electronic total energy = -3.131 eV/atom
Formation enthalpy at 0 K = 0.0152 eV per atom
Crystal system = trigonal

Lattice parameters (Å, degrees): 5.7422 10.0431 10.0431 120.00 90.00 90.00
Last column: nearest neighbours and their distance in Å.
Fractional positions:
Pb1 0.0867 0.3262 0.3456  4 In 3.22-3.47, 5 Pb 3.37-3.52
In1 0.5781 0.6741 0.1433  6 Pb 3.22-3.58, 3 In 3.35-3.37
K1 0.5000 0.0000 0.0000  6 Pb 4.13, 6 In 4.21
Pb2 0.0867 0.6544 0.9806  4 In 3.22-3.47, 5 Pb 3.37-3.52
In2 0.5781 0.4692 0.3259  6 Pb 3.22-3.58, 3 In 3.35-3.37
In3 0.4219 0.1433 0.4692  6 Pb 3.22-3.58, 3 In 3.35-3.37
In4 0.4219 0.3259 0.8567  6 Pb 3.22-3.58, 3 In 3.35-3.37
In5 0.4219 0.5308 0.6741  6 Pb 3.22-3.58, 3 In 3.35-3.37
In6 0.5781 0.8567 0.5308  6 Pb 3.22-3.58, 3 In 3.35-3.37
Pb3 0.0867 0.0194 0.6738  4 In 3.22-3.47, 5 Pb 3.37-3.52
Pb4 0.1014 0.6667 0.3333  6 In 3.36-3.58, 6 Pb 3.37-3.48
Pb5 0.9133 0.9806 0.3262  4 In 3.22-3.47, 5 Pb 3.37-3.52
Pb6 0.8986 0.3333 0.6667  6 In 3.36-3.58, 6 Pb 3.37-3.48
Pb7 0.9133 0.3456 0.0194  4 In 3.22-3.47, 5 Pb 3.37-3.52
Pb8 0.9133 0.6738 0.6544  4 In 3.22-3.47, 5 Pb 3.37-3.52



VASP calculation (PBE) on crystalline KIn2Pb2 at its relaxed geometry.

Magnetization = 0.00 μB per formula unit
DOS at the Fermi energy = 0.488 states/eV per atom
Mass density = 6.59 g/cm³
Electronic total energy = -2.912 eV/atom
Formation enthalpy at 0 K = -0.1143 eV per atom
Crystal system = tetragonal
ΔE to the lowest computed polymorph = 0.0 meV per atom

Lattice parameters (Å, degrees): 5.2576 5.2576 7.2556 68.76 68.76 90.00
Last column: nearest neighbours and their distance in Å.
Fractional positions:
Pb1 0.7500 0.2500 0.5000  4 In 3.12
In1 0.6154 0.6154 0.7691  1 In 2.88, 4 Pb 3.12
Pb2 0.2500 0.7500 0.5000  4 In 3.12
K1 0.0000 0.0000 0.0000  8 In 3.99, 8 Pb 4.08
In2 0.3846 0.3846 0.2309  1 In 2.88, 4 Pb 3.12



VASP calculation (PBE) on crystalline KPmInPb at its relaxed geometry.

Magnetization = 0.00 μB per formula unit
DOS at the Fermi energy = 0.776 states/eV per atom
Mass density = 6.57 g/cm³
Electronic total energy = -3.218 eV/atom
Formation enthalpy at 0 K = -0.1439 eV per atom
Crystal system = cubic

Lattice parameters (Å, degrees): 5.6561 5.6561 5.6561 60.00 60.00 60.00
Last column: nearest neighbours and their distance in Å.
Fractional positions:
Pm1 0.7500 0.7500 0.7500  4 In 3.46, 4 Pb 3.46
K1 0.2500 0.2500 0.2500  4 In 3.46, 4 Pb 3.46
In1 0.0000 0.0000 0.0000  4 K 3.46, 4 Pm 3.46
Pb1 0.5000 0.5000 0.5000  4 K 3.46, 4 Pm 3.46



VASP calculation (PBE) on crystalline K2RbInPb at its relaxed geometry.

Magnetization = 0.18 μB per formula unit
DOS at the Fermi energy = 0.602 states/eV per atom
Mass density = 2.93 g/cm³
Electronic total energy = -1.894 eV/atom
Formation enthalpy at 0 K = 0.0278 eV per atom
Crystal system = tetragonal
ΔE to the lowest computed polymorph = 5.2 meV per atom

Lattice parameters (Å, degrees): 6.8295 6.8295 5.9023 90.00 90.00 90.00
Last column: nearest neighbours and their distance in Å.
Fractional positions:
In1 0.0000 0.0000 0.0000  2 Pb 2.95
K1 0.0000 0.5000 0.0000  2 In 3.41
K2 0.5000 0.0000 0.0000  2 In 3.41
Pb1 0.0000 0.0000 0.5000  2 In 2.95
Rb1 0.5000 0.5000 0.5000  8 K 4.51, 4 Pb 4.83